Entry 1:
## PmSmTmTl (GGA-PBE)

Data for an optimized crystal structure of PmSmTmTl.

POSCAR file:
```
PmSmTmTl
1.0
4.971 0.000 0.000
0.000 4.859 0.000
0.000 0.000 4.869
Tl Tm Pm Sm
1 1 1 1
direct
0.000 0.000 0.000
0.000 0.500 0.500
0.500 0.000 0.500
0.500 0.500 0.000
```

Summary:
The calculation puts the total moment at 0.00 μB per cell. The energy of formation from the pure elements is -0.187 eV per atom. The polymorph energy (0 for the lowest one) is 0 meV/atom. As for the density of states at the Fermi level: 5.8 states/eV/cell.

---

Entry 2:
## Cs3Np3BiSe8 (GGA-PBE)

Data for an optimized crystal structure of Cs3Np3BiSe8.

POSCAR file:
```
Cs3Np3BiSe8
1.0
8.583 0.000 0.000
-4.291 7.432 -0.016
0.000 -4.934 8.465
Np Cs Bi Se
3 3 1 8
direct
0.500 0.500 0.500
0.000 0.500 0.500
0.500 0.000 0.500
0.000 0.000 0.000
0.000 0.500 0.000
0.500 0.500 0.000
0.000 0.000 0.500
0.233 0.951 0.684
0.728 0.455 0.683
0.767 0.049 0.316
0.272 0.545 0.317
0.233 0.466 0.684
0.718 0.951 0.684
0.767 0.534 0.316
0.282 0.049 0.316
```

Summary:
The calculation puts the total moment at 11.00 μB per cell. As for the raw formation energy: -1.12 eV per atom. As for the density of states at the Fermi level: 25.2 states/eV/cell.